1.
VASP calculation (meta-GGA SCAN) on a crystal of Fe2WCl relaxed with PBEsol.

* calculated volume: 13.1 Å³ per atom
* formation energy without anion corrections: 469.9 meV per atom
* N(E_F): 3.8 states/eV/f.u.
* symmetry: P4/mmm, No. 123
* final energy: -112.05 eV/cell

```
Fe2WCl
1.0
2.784 0.000 0.000
0.000 2.784 0.000
0.000 0.000 6.768
Fe W Cl
2 1 1
direct
0.000 0.000 0.244 Fe
0.000 0.000 0.756 Fe
0.500 0.500 0.500 W
0.500 0.500 0.000 Cl
```

=====

2.
VASP calculation (meta-GGA SCAN) on a crystal of Fe2WCl relaxed with PBEsol.

* calculated volume: 13.7 Å³ per atom
* formation energy without anion corrections: 394.4 meV per atom
* N(E_F): 2.0 states/eV/f.u.
* symmetry: P4mm, No. 99
* final energy: -112.35 eV/cell

```
Fe2WCl
1.0
2.848 0.000 0.000
0.000 2.848 0.000
0.000 0.000 6.734
Fe W Cl
2 1 1
direct
0.000 0.000 0.000 Fe
0.500 0.500 0.208 Fe
0.000 0.000 0.434 W
0.500 0.500 0.700 Cl
```

=====

3.
VASP calculation (meta-GGA SCAN) on a crystal of FeWCl2 relaxed with PBEsol.

* calculated volume: 20.4 Å³ per atom
* formation energy without anion corrections: 134.5 meV per atom
* N(E_F): 2.2 states/eV/f.u.
* symmetry: Immm, No. 71
* final energy: -103.24 eV/cell

```
FeWCl2
1.0
-1.460 2.101 6.662
1.460 -2.101 6.662
1.460 2.101 -6.662
Fe W Cl
1 1 2
direct
0.000 0.000 0.000 Fe
0.500 0.500 0.000 W
0.352 0.852 0.500 Cl
0.648 0.148 0.500 Cl
```